#i
A plane-wave DFT calculation with GGA-PBE was carried out for In3HgBi after structural relaxation.

Values from the calculation:
**Volume**: 30.832 Å³ per atom
**Symmetry**: No. 62
**Theoretical density**: 8.1 g/cm³

Unit cell a=5.4944 b=12.4223 c=9.0347 alpha=90.00 beta=90.00 gamma=90.00
With the nearest neighbours (Å) after each atom.
Element x y z (fractional)
In 0.0017 0.1044 0.1482  6 In 3.31-3.62, 3 Bi 3.31-3.43, 1 Hg 3.34
In 0.0017 0.3956 0.1482  6 In 3.31-3.62, 3 Bi 3.31-3.43, 1 Hg 3.34
In 0.0049 0.2500 0.4886  2 Bi 3.11, 3 Hg 3.15-3.17
In 0.4951 0.7500 0.9886  2 Bi 3.11, 3 Hg 3.15-3.17
In 0.4983 0.6044 0.6482  6 In 3.31-3.62, 3 Bi 3.31-3.43, 1 Hg 3.34
In 0.4983 0.8956 0.6482  6 In 3.31-3.62, 3 Bi 3.31-3.43, 1 Hg 3.34
In 0.5017 0.1044 0.3518  6 In 3.31-3.62, 3 Bi 3.31-3.43, 1 Hg 3.34
In 0.5017 0.3956 0.3518  6 In 3.31-3.62, 3 Bi 3.31-3.43, 1 Hg 3.34
In 0.5049 0.2500 0.0114  2 Bi 3.11, 3 Hg 3.15-3.17
In 0.9951 0.7500 0.5114  2 Bi 3.11, 3 Hg 3.15-3.17
In 0.9983 0.6044 0.8518  6 In 3.31-3.62, 3 Bi 3.31-3.43, 1 Hg 3.34
In 0.9983 0.8956 0.8518  6 In 3.31-3.62, 3 Bi 3.31-3.43, 1 Hg 3.34
Hg 0.0050 0.2500 0.8370  5 In 3.15-3.34, 2 Hg 3.16
Hg 0.4950 0.7500 0.3370  5 In 3.15-3.34, 2 Hg 3.16
Hg 0.5050 0.2500 0.6630  5 In 3.15-3.34, 2 Hg 3.16
Hg 0.9950 0.7500 0.1630  5 In 3.15-3.34, 2 Hg 3.16
Bi 0.0000 0.0000 0.5000  8 In 3.11-3.43
Bi 0.0000 0.5000 0.5000  8 In 3.11-3.43
Bi 0.5000 0.0000 0.0000  8 In 3.11-3.43
Bi 0.5000 0.5000 0.0000  8 In 3.11-3.43

=====

#ii
A plane-wave DFT calculation with GGA-PBE was carried out for In3HgBi after structural relaxation.

Values from the calculation:
**Volume**: 33.750 Å³ per atom
**Symmetry**: No. 221
**Theoretical density**: 7.4 g/cm³

Unit cell a=5.5261 b=5.5261 c=5.5261 alpha=90.00 beta=90.00 gamma=90.00
With the nearest neighbours (Å) after each atom.
Element x y z (fractional)
In 0.0000 0.0000 0.5000  2 Hg 2.76
In 0.0000 0.5000 0.0000  2 Hg 2.76
In 0.5000 0.0000 0.0000  2 Hg 2.76
Hg 0.0000 0.0000 0.0000  6 In 2.76
Bi 0.5000 0.5000 0.5000  12 In 3.91

=====

Energy ordering: #i at the bottom, the next structure 259 meV per atom above.

=====

#i
A plane-wave DFT calculation with GGA-PBE was carried out for InHg3Bi after structural relaxation.

Values from the calculation:
**Volume**: 27.985 Å³ per atom
**Symmetry**: No. 2
**Theoretical density**: 11.0 g/cm³

Unit cell a=5.7991 b=6.4867 c=8.5759 alpha=109.92 beta=100.82 gamma=104.63
With the nearest neighbours (Å) after each atom.
Element x y z (fractional)
In 0.2188 0.1284 0.3901  7 Hg 3.14-3.40, 1 Bi 3.38
In 0.7812 0.8716 0.6099  7 Hg 3.14-3.40, 1 Bi 3.38
Hg 0.1772 0.6546 0.4233  4 In 3.14-3.40, 1 Bi 3.25, 5 Hg 3.27-3.40
Hg 0.3651 0.1102 0.8008  4 Hg 3.12-3.46, 1 In 3.18, 1 Bi 3.24
Hg 0.4498 0.5918 0.7769  6 Hg 3.12-3.46, 2 In 3.18-3.37, 2 Bi 3.22-3.34
Hg 0.5502 0.4082 0.2231  6 Hg 3.12-3.46, 2 In 3.18-3.37, 2 Bi 3.22-3.34
Hg 0.6349 0.8898 0.1992  4 Hg 3.12-3.46, 1 In 3.18, 1 Bi 3.24
Hg 0.8228 0.3454 0.5767  4 In 3.14-3.40, 1 Bi 3.25, 5 Hg 3.27-3.40
Bi 0.0568 0.7338 0.9753  1 Bi 3.13, 4 Hg 3.22-3.34, 1 In 3.38
Bi 0.9432 0.2662 0.0247  1 Bi 3.13, 4 Hg 3.22-3.34, 1 In 3.38

=====

#ii
A plane-wave DFT calculation with GGA-PBE was carried out for InHg3Bi after structural relaxation.

Values from the calculation:
**Volume**: 40.577 Å³ per atom
**Symmetry**: No. 221
**Theoretical density**: 7.6 g/cm³

Unit cell a=5.8760 b=5.8760 c=5.8760 alpha=90.00 beta=90.00 gamma=90.00
With the nearest neighbours (Å) after each atom.
Element x y z (fractional)
In 0.0000 0.0000 0.0000  12 Hg 4.15
Hg 0.0000 0.5000 0.5000  2 Bi 2.94
Hg 0.5000 0.0000 0.5000  2 Bi 2.94
Hg 0.5000 0.5000 0.0000  2 Bi 2.94
Bi 0.5000 0.5000 0.5000  6 Hg 2.94

=====

Energy ordering: #i at the bottom, the next structure 287 meV per atom above.

=====

#i
A plane-wave DFT calculation with GGA-PBE was carried out for In6Hg2Bi after structural relaxation.

Values from the calculation:
**Volume**: 28.560 Å³ per atom
**Symmetry**: No. 38
**Theoretical density**: 8.4 g/cm³

Unit cell a=4.2719 b=8.1932 c=8.1932 alpha=116.32 beta=90.00 gamma=90.00
With the nearest neighbours (Å) after each atom.
Element x y z (fractional)
In 0.0000 0.0000 0.0000  2 Hg 3.06, 2 Bi 3.16, 2 In 3.23
In 0.0000 0.3984 0.6322  2 Hg 3.04-3.09, 5 In 3.25-3.39, 2 Bi 3.26
In 0.0000 0.6322 0.3984  2 Hg 3.04-3.09, 5 In 3.25-3.39, 2 Bi 3.26
In 0.5000 0.1073 0.6913  4 Hg 3.20-3.23, 1 Bi 3.25, 2 In 3.39
In 0.5000 0.2808 0.2808  6 In 3.23-3.36, 4 Hg 3.51
In 0.5000 0.6913 0.1073  4 Hg 3.20-3.23, 1 Bi 3.25, 2 In 3.39
Hg 0.0000 0.3675 0.9880  7 In 3.04-3.23
Hg 0.0000 0.9880 0.3675  7 In 3.04-3.23
Bi 0.5000 0.7298 0.7298  8 In 3.16-3.26

=====

#ii
A plane-wave DFT calculation with GGA-PBE was carried out for In6Hg2Bi after structural relaxation.

Values from the calculation:
**Volume**: 32.004 Å³ per atom
**Symmetry**: No. 187
**Theoretical density**: 7.5 g/cm³

Unit cell a=4.4316 b=4.4316 c=16.9355 alpha=90.00 beta=90.00 gamma=120.00
With the nearest neighbours (Å) after each atom.
Element x y z (fractional)
In 0.0000 0.0000 0.0878  2 In 2.97-3.31, 3 Hg 3.01
In 0.0000 0.0000 0.2833  3 Hg 3.09, 4 In 3.12-3.31
In 0.0000 0.0000 0.7167  3 Hg 3.09, 4 In 3.12-3.31
In 0.0000 0.0000 0.9122  2 In 2.97-3.31, 3 Hg 3.01
In 0.3333 0.6667 0.3892  3 In 3.12, 3 Bi 3.17
In 0.3333 0.6667 0.6108  3 In 3.12, 3 Bi 3.17
Hg 0.3333 0.6667 0.1811  6 In 3.01-3.09
Hg 0.3333 0.6667 0.8189  6 In 3.01-3.09
Bi 0.0000 0.0000 0.5000  6 In 3.17

=====

Energy ordering: #i at the bottom, the next structure 79 meV per atom above.

=====

#i
A plane-wave DFT calculation with GGA-PBE was carried out for InHgBi after structural relaxation.

Values from the calculation:
**Volume**: 29.175 Å³ per atom
**Symmetry**: No. 39
**Theoretical density**: 9.9 g/cm³

Unit cell a=10.6692 b=4.0506 c=4.0506 alpha=89.99 beta=90.00 gamma=90.00
With the nearest neighbours (Å) after each atom.
Element x y z (fractional)
In 0.0912 0.2500 0.7500  5 Hg 3.23-3.47, 4 In 3.46, 1 Bi 3.58
In 0.9088 0.7500 0.2500  5 Hg 3.23-3.47, 4 In 3.46, 1 Bi 3.58
Hg 0.2337 0.7522 0.2522  5 In 3.23-3.47, 4 Bi 3.51-3.54
Hg 0.7663 0.2522 0.7522  5 In 3.23-3.47, 4 Bi 3.51-3.54
Bi 0.4266 0.2559 0.7559  4 Bi 3.26, 5 Hg 3.51-3.62, 1 In 3.58
Bi 0.5734 0.7559 0.2559  4 Bi 3.26, 5 Hg 3.51-3.62, 1 In 3.58

=====

#ii
A plane-wave DFT calculation with GGA-PBE was carried out for InHgBi after structural relaxation.

Values from the calculation:
**Volume**: 28.543 Å³ per atom
**Symmetry**: No. 156
**Theoretical density**: 10.2 g/cm³

Unit cell a=3.4818 b=3.4818 c=8.1561 alpha=90.00 beta=90.00 gamma=120.00
With the nearest neighbours (Å) after each atom.
Element x y z (fractional)
In 0.0000 0.0000 0.0000  3 Hg 3.25, 3 Bi 3.46, 6 In 3.48
Hg 0.3333 0.6667 0.6867  3 In 3.25, 3 Bi 3.43, 6 Hg 3.48
Bi 0.6667 0.3333 0.3456  3 Hg 3.43, 3 In 3.46, 6 Bi 3.48

=====

Energy ordering: #i at the bottom, the next structure 20 meV per atom above.

=====

#i
A plane-wave DFT calculation with GGA-PBE was carried out for InHgBi after structural relaxation.

Values from the calculation:
**Volume**: 29.151 Å³ per atom
**Symmetry**: No. 146
**Theoretical density**: 10.0 g/cm³

Unit cell a=8.6278 b=8.6278 c=8.6278 alpha=42.21 beta=42.21 gamma=42.21
With the nearest neighbours (Å) after each atom.
Element x y z (fractional)
In 0.0146 0.3275 0.6580  3 Hg 3.13-3.24, 3 Bi 3.36-3.50, 2 In 3.46
In 0.3275 0.6580 0.0146  3 Hg 3.13-3.24, 3 Bi 3.36-3.50, 2 In 3.46
In 0.6580 0.0146 0.3275  3 Hg 3.13-3.24, 3 Bi 3.36-3.50, 2 In 3.46
Hg 0.2249 0.2249 0.2249  3 In 3.24, 3 Bi 3.38, 6 Hg 3.59
Hg 0.5633 0.5633 0.5633  3 In 3.24, 3 Bi 3.47, 6 Hg 3.59
Hg 0.9004 0.9004 0.9004  3 In 3.13, 3 Bi 3.36
Bi 0.0822 0.7824 0.4813  2 Bi 3.23, 3 Hg 3.36-3.47, 3 In 3.36-3.50
Bi 0.4813 0.0822 0.7824  2 Bi 3.23, 3 Hg 3.36-3.47, 3 In 3.36-3.50
Bi 0.7824 0.4813 0.0822  2 Bi 3.23, 3 Hg 3.36-3.47, 3 In 3.36-3.50

=====

#ii
A plane-wave DFT calculation with GGA-PBE was carried out for InHgBi after structural relaxation.

Values from the calculation:
**Volume**: 28.472 Å³ per atom
**Symmetry**: No. 107
**Theoretical density**: 10.2 g/cm³

Unit cell a=5.8206 b=5.8206 c=5.8206 alpha=138.58 beta=138.58 gamma=60.01
With the nearest neighbours (Å) after each atom.
Element x y z (fractional)
In 0.0000 0.0000 0.0000  5 Bi 3.35-3.38, 5 Hg 3.36
Hg 0.6667 0.6667 0.0000  5 Bi 3.34-3.37, 5 In 3.36
Bi 0.3352 0.3352 0.0000  5 Hg 3.34-3.37, 5 In 3.35-3.38

=====

Energy ordering: #i at the bottom, the next structure 13 meV per atom above.